Entry 1:
First-principles (GGA-PBE) data for SrErAu2 after structural relaxation, as listed in Alexandria via LeMat-Bulk.

formation energy from the elements: -0.724 eV/atom
E: -3.92 eV/atom
magnetic moment: 0.0 Bohr magnetons per cell

Structure (CIF):
```
data_SrErAu2
_chemical_formula_sum 'Sr1 Er1 Au2'
_cell_length_a 4.966
_cell_length_b 4.966
_cell_length_c 5.854
_cell_angle_alpha 64.90
_cell_angle_beta 64.90
_cell_angle_gamma 60.00
_space_group_name_H-M_alt 'P 1'
_space_group_IT_number 1
loop_
_space_group_symop_operation_xyz
'x,y,z'
loop_
_atom_site_label
_atom_site_type_symbol
_atom_site_fract_x
_atom_site_fract_y
_atom_site_fract_z
Au1 Au 0.787 0.787 0.639
Au2 Au 0.213 0.213 0.361
Sr1 Sr 0.000 0.000 0.000
Er1 Er 0.500 0.500 0.500
```



Entry 2:
First-principles (GGA-PBE) data for Sr2ErAu after structural relaxation, as listed in Alexandria via LeMat-Bulk.

formation energy from the elements: 0.023 eV/atom
E: -2.78 eV/atom
magnetic moment: 0.8 Bohr magnetons per cell

Structure (CIF):
```
data_Sr2ErAu
_chemical_formula_sum 'Sr2 Er1 Au1'
_cell_length_a 3.953
_cell_length_b 3.953
_cell_length_c 11.696
_cell_angle_alpha 80.27
_cell_angle_beta 80.27
_cell_angle_gamma 60.00
_space_group_name_H-M_alt 'P 1'
_space_group_IT_number 1
loop_
_space_group_symop_operation_xyz
'x,y,z'
loop_
_atom_site_label
_atom_site_type_symbol
_atom_site_fract_x
_atom_site_fract_y
_atom_site_fract_z
Er1 Er 0.000 0.000 0.000
Sr1 Sr 0.106 0.106 0.683
Sr2 Sr 0.894 0.894 0.317
Au1 Au 0.500 0.500 0.500
```